[1]
Hg3TeH2: relaxed, PBE-GGA.

Unit cell a=6.8654 b=6.8654 c=8.6671 alpha=76.23 beta=76.23 gamma=113.56
Last column: nearest neighbours and their distance in Å.
Sites, in units of the cell vectors:
Hg1 0.3737 0.6263 0.2500  4 Hg 3.32-3.36, 1 Te 3.50, 4 H 3.59-3.60
Hg2 0.8377 0.6704 0.9823  1 H 1.67
H1 0.4132 0.7615 0.6209  1 Hg 1.67
Hg3 0.1623 0.3296 0.0177  1 H 1.67
Hg4 0.3296 0.1623 0.5177  1 H 1.67
H2 0.5868 0.2385 0.3791  1 Hg 1.67
H3 0.7615 0.4132 0.1209  1 Hg 1.67
Te1 0.0691 0.9309 0.2500  2 Hg 2.70
Te2 0.9309 0.0691 0.7500  2 Hg 2.70
Hg5 0.6263 0.3737 0.7500  4 Hg 3.32-3.36, 1 Te 3.50, 4 H 3.59-3.60
Hg6 0.6704 0.8377 0.4823  1 H 1.67
H4 0.2385 0.5868 0.8791  1 Hg 1.67

## Properties
Uncorrected energy: -1.63 eV/atom
Symmetry: C2/c
M_tot: 0.00 μB/atom

[2]
Ac6InRh2: relaxed, PBE-GGA.

Unit cell a=5.7668 b=7.6660 c=9.3041 alpha=74.61 beta=71.95 gamma=67.91
Last column: nearest neighbours and their distance in Å.
Sites, in units of the cell vectors:
Rh1 0.8115 0.2687 0.1082  5 Ac 2.89-3.06
Rh2 0.1885 0.7313 0.8918  5 Ac 2.89-3.06
Ac1 0.2823 0.3151 0.1203  2 Rh 2.91
Ac2 0.0179 0.1549 0.8092  2 Rh 2.89-2.97
Ac3 0.6536 0.2351 0.4577  1 Rh 3.06
In1 0.0000 0.5000 0.5000  6 Ac 3.35-3.50
Ac4 0.9821 0.8451 0.1908  2 Rh 2.89-2.97
Ac5 0.7177 0.6849 0.8797  2 Rh 2.91
Ac6 0.3464 0.7649 0.5423  1 Rh 3.06

## Properties
Uncorrected energy: -5.01 eV/atom
Symmetry: C2/m
M_tot: 0.00 μB/atom
DFT formation energy: -0.3337 eV/atom
E above lowest polymorph: 99 kJ/mol of formula units

[3]
Bi4SeO5: relaxed, PBE-GGA.

Unit cell a=4.5890 b=8.8812 c=10.6297 alpha=90.00 beta=90.00 gamma=90.00
Last column: nearest neighbours and their distance in Å.
Sites, in units of the cell vectors:
Se1 0.4593 0.0000 0.0000  4 Bi 2.90-3.22
O1 0.2268 0.0000 0.5000  2 Bi 2.29
O2 0.7732 0.5000 0.0000  2 Bi 2.29
O3 0.2646 0.6724 0.8363  2 Bi 2.12
O4 0.7354 0.8276 0.6637  2 Bi 2.12
O5 0.7354 0.1724 0.3363  2 Bi 2.12
Bi1 0.9507 0.2518 0.5000  2 O 2.12
O6 0.2646 0.3276 0.8363  2 Bi 2.12
O7 0.7354 0.1724 0.6637  2 Bi 2.12
O8 0.7354 0.8276 0.3363  2 Bi 2.12
Bi2 0.4263 0.0000 0.6972  3 O 2.12-2.29
O9 0.2646 0.6724 0.1637  2 Bi 2.12
O10 0.2646 0.3276 0.1637  2 Bi 2.12
Bi3 0.5737 0.5000 0.8028  3 O 2.12-2.29
Bi4 0.9507 0.7482 0.5000  2 O 2.12
Se2 0.5407 0.5000 0.5000  4 Bi 2.90-3.22
Bi5 0.0493 0.7518 0.0000  2 O 2.12
Bi6 0.4263 0.0000 0.3028  3 O 2.12-2.29
Bi7 0.5737 0.5000 0.1972  3 O 2.12-2.29
Bi8 0.0493 0.2482 0.0000  2 O 2.12

## Properties
Uncorrected energy: -5.34 eV/atom
Raw formation energy: -9.6 eV per formula unit
Symmetry: Pmmn
M_tot: 0.00 μB/atom

[4]
La2CdRh: relaxed, PBE-GGA.

Unit cell a=6.8025 b=6.8025 c=6.8025 alpha=148.90 beta=138.17 gamma=53.03
Last column: nearest neighbours and their distance in Å.
Sites, in units of the cell vectors:
Cd1 0.6923 0.1923 0.5000  2 Rh 2.94
La1 0.0017 0.0017 0.0000  4 Rh 3.04, 2 Cd 3.36
Rh1 0.5026 0.5026 0.0000  2 Cd 2.94, 6 La 3.03-3.04
La2 0.3034 0.8034 0.5000  2 Rh 3.03, 4 Cd 3.32

## Properties
Uncorrected energy: -4.94 eV/atom
Symmetry: Imm2
M_tot: 0.00 μB/atom
DFT formation energy: -0.4078 eV/atom

- The highest uncorrected energy belongs to which entry?
  Hg3TeH2